# 1
Mg3Co6P5 | the Alexandria database | PBE | relaxed; formation enthalpy at 0 K = -0.5700 eV/atom; crystal system = orthorhombic; ρ = 5.3 Mg/m³
1.0
-3.2739 -0.4703 -1.3861
3.5972 -1.3645 -8.0334
0.6691 -11.0949 2.1841
Mg Co P
6 12 10
Cartesian
1.3599 -6.7924 -5.5466 Mg
1.3265 -7.5947 -0.5563 Mg
1.1202 -4.1745 -1.2296 Mg
1.1745 -2.9725 -6.4048 Mg
1.6373 -10.6473 -4.8940 Mg
0.9348 -0.3546 -2.0877 Mg
3.8323 -6.8742 -6.7194 Co
2.6266 -8.5907 -3.2893 Co
-1.5375 -0.2728 -0.9150 Co
0.5912 -9.2520 1.7427 Co
0.3372 -9.6512 -2.1610 Co
2.0797 -6.2094 -2.8055 Co
-0.0636 -3.0058 -3.4692 Co
2.3726 -8.9899 -7.1930 Co
2.3583 -4.1412 -4.1652 Co
2.1488 -5.2784 -7.9236 Co
0.2150 -0.9376 -4.8289 Co
0.1460 -1.8687 0.2892 Co
0.5051 -7.7602 -3.1993 P
3.1616 -1.1993 -7.0606 P
3.4882 -8.6427 -5.3066 P
-0.8668 -5.9478 -0.5738 P
3.2538 -4.7558 -6.0717 P
1.9491 -2.0314 -3.9145 P
-0.9591 -2.3913 -1.5626 P
2.4587 -10.4817 -2.2510 P
-0.5244 -9.5993 -0.1437 P
0.3457 -5.1157 -3.7199 P

=====

# 2
MgPa2Co4P3 | the Alexandria database | PBE | relaxed; formation enthalpy at 0 K = -0.8288 eV/atom; crystal system = tetragonal; ρ = 9.3 Mg/m³
1.0
-0.5658 3.2123 1.9487
-0.8718 -2.0292 3.0917
9.7320 0.0354 2.7675
Co Mg P Pa
4 1 3 2
Cartesian
0.0000 0.0000 0.0000 Co
-0.7188 0.5916 2.5202 Co
6.1421 1.6295 2.8014 Co
2.8711 -1.0026 2.4863 Co
4.1472 0.6092 3.9040 Mg
0.7383 -1.0103 1.8798 P
8.2749 1.6372 3.4079 P
4.8660 0.0177 1.3837 P
2.0331 1.6146 1.6330 Pa
6.9801 -0.9876 3.6547 Pa

=====

# 3
PuMgCo2P2 | the Alexandria database | PBE | relaxed; formation enthalpy at 0 K = -0.6567 eV/atom; crystal system = trigonal; ρ = 8.5 Mg/m³
1.0
-3.7403 1.0883 -0.7731
1.8002 -2.6921 -2.2986
-2.1568 -4.7010 3.8167
P Pu Co Mg
2 1 2 1
Cartesian
-3.4636 -3.5943 1.4970 P
-0.6332 -2.7105 -0.7521 P
0.0000 0.0000 0.0000 Pu
-2.6772 -1.8801 0.1053 Co
-1.4197 -4.4247 0.6397 Co
-1.0784 -2.3505 1.9083 Mg

=====

Copy entry 2 word for word.
MgPa2Co4P3 | the Alexandria database | PBE | relaxed; formation enthalpy at 0 K = -0.8288 eV/atom; crystal system = tetragonal; ρ = 9.3 Mg/m³
1.0
-0.5658 3.2123 1.9487
-0.8718 -2.0292 3.0917
9.7320 0.0354 2.7675
Co Mg P Pa
4 1 3 2
Cartesian
0.0000 0.0000 0.0000 Co
-0.7188 0.5916 2.5202 Co
6.1421 1.6295 2.8014 Co
2.8711 -1.0026 2.4863 Co
4.1472 0.6092 3.9040 Mg
0.7383 -1.0103 1.8798 P
8.2749 1.6372 3.4079 P
4.8660 0.0177 1.3837 P
2.0331 1.6146 1.6330 Pa
6.9801 -0.9876 3.6547 Pa

=====

Q: Look up the ρ of the third one.
A: 8.5 Mg/m³

=====

Q: The highest ρ belongs to which entry?
A: MgPa2Co4P3

=====

Q: formation enthalpy at 0 K of number 3 (PuMgCo2P2)?
A: -0.6567 eV/atom